K3VO4, relaxed, DFT PBE with a Hubbard U; crystal system = orthorhombic; space-group type = Pmn2_1, No. 31; total DFT energy (no corrections) = -92.21 eV per cell
1.0
7.9155 0.0000 0.0000
0.0000 6.8751 0.0000
0.0000 0.0000 6.1990
K V O
6 2 8
Direct
0.0000 0.1417 0.0000
0.2420 0.3215 0.4969
0.2580 0.6785 0.9969
0.5000 0.8583 0.5000
0.7420 0.6785 0.9969
0.7580 0.3215 0.4969
0.0000 0.8171 0.4833
0.5000 0.1829 0.9833
0.0000 0.0604 0.5701
0.0000 0.8113 0.2020
0.1831 0.6983 0.5749
0.3169 0.3017 0.0749
0.5000 0.1887 0.7020
0.5000 0.9396 0.0701
0.6831 0.3017 0.0749
0.8169 0.6983 0.5749